1.
First-principles (PBE) data for a geometry-optimized YHoAlGa structure, as listed in the Alexandria database.

Structure (POSCAR):
```
YHoAlGa
1.0
-1.8637 3.7249 -1.4052
-2.7423 -0.2440 2.9903
4.2525 1.0371 3.9844
Y Ho Al Ga
1 1 1 1
Cartesian
0.0958 3.8350 3.1633
0.9427 0.8232 0.9317
-1.8157 2.1659 1.2741
2.8124 2.4558 2.7795
```

* symmetry: Amm2 (38)


2.
First-principles (PBE) data for a geometry-optimized YHoAlGa structure, as listed in the Alexandria database.

Structure (POSCAR):
```
YHoAlGa
1.0
5.0717 0.0000 0.0000
2.5358 4.3922 0.0000
2.5358 1.4641 4.1410
Y Ho Ga Al
1 1 1 1
Cartesian
7.6075 4.3922 3.1058
2.5358 1.4641 1.0353
0.0000 0.0000 0.0000
5.0717 2.9281 2.0705
```

* symmetry: F-43m (216)


Stability verdict: 1, ahead by 40 meV per atom


1.
First-principles (PBE) data for a geometry-optimized HoAlZnGa structure, as listed in the Alexandria database.

Structure (POSCAR):
```
HoAlZnGa
1.0
-1.3579 1.6509 -4.2420
-4.5977 0.8178 -0.8695
-1.5816 4.4596 -0.4177
Zn Ho Ga Al
1 1 1 1
Cartesian
-5.6529 5.1963 -4.1469
-3.7686 3.4642 -2.7646
-1.8843 1.7321 -1.3823
0.0000 0.0000 0.0000
```

* symmetry: F-43m (216)


2.
First-principles (PBE) data for a geometry-optimized HoAlZnGa structure, as listed in the Alexandria database.

Structure (POSCAR):
```
HoAlZnGa
1.0
-0.0096 3.2860 0.6282
-5.0846 -0.1453 0.6823
0.6821 -0.9318 4.8846
Ho Al Zn Ga
1 1 1 1
Cartesian
-2.2061 1.1044 3.0976
0.0000 0.0000 0.0000
0.3411 -0.4659 2.4423
-2.5423 -0.0727 0.3412
```

* symmetry: Pmmm (47)


Stability verdict: 1, ahead by 199 meV per atom


1.
First-principles (PBE) data for a geometry-optimized AlGa2I structure, as listed in the Alexandria database.

Structure (POSCAR):
```
AlGa2I
1.0
-1.1521 -3.6265 2.0310
-0.8784 -3.5588 -2.2730
6.5083 -4.4399 0.3441
I Al Ga
1 1 2
Cartesian
0.0000 0.0000 0.0000
2.2389 -5.8126 0.0511
3.8474 -3.6827 0.1868
0.6303 -7.9425 -0.0847
```

* symmetry: R-3m (166)


2.
First-principles (PBE) data for a geometry-optimized AlGa2I structure, as listed in the Alexandria database.

Structure (POSCAR):
```
AlGa2I
1.0
6.2911 0.0000 0.0000
0.0000 6.2911 0.0000
3.1456 3.1456 6.5257
I Al Ga
2 2 4
Cartesian
0.0000 0.0000 0.0000
6.2911 3.1456 3.2628
3.1456 3.1456 0.0000
3.1456 6.2911 3.2628
4.2598 1.5728 1.6314
2.0313 4.7183 1.6314
4.7183 5.1769 4.8943
7.8639 7.4054 4.8943
```

* symmetry: I-42d (122)


Stability verdict: 1, ahead by 22 meV per atom


1.
First-principles (PBE) data for a geometry-optimized AlGa3I structure, as listed in the Alexandria database.

Structure (POSCAR):
```
AlGa3I
1.0
5.8790 0.0000 0.0000
0.0000 5.8790 0.0000
0.0000 0.0000 5.8790
I Al Ga
1 1 3
Cartesian
0.0000 0.0000 0.0000
2.9395 2.9395 2.9395
0.0000 2.9395 0.0000
0.0000 0.0000 2.9395
2.9395 0.0000 0.0000
```

* symmetry: Pm-3m (221)


2.
First-principles (PBE) data for a geometry-optimized AlGa3I structure, as listed in the Alexandria database.

Structure (POSCAR):
```
AlGa3I
1.0
5.1536 0.0000 0.0000
0.0000 5.1536 0.0000
0.0000 0.0000 5.1536
I Al Ga
1 1 3
Cartesian
2.5768 2.5768 2.5768
0.0000 0.0000 0.0000
0.0000 2.5768 0.0000
0.0000 0.0000 2.5768
2.5768 0.0000 0.0000
```

* symmetry: Pm-3m (221)


Stability verdict: 2, ahead by 719 meV per atom